An optimized crystal structure of Li5PrAu2. Source: Alexandria, functional PBE.

Properties
M_tot   0.000 μB per atom
V   20.6 A^3/atom
Energy of formation from the pure elements   -0.39 eV per atom
Space group   Immm, No. 71
Calculated density   5.7 g/cm³

abc: 4.0721 6.7292 6.7292
angles: 74.79 72.39 72.39
Last column: nearest neighbours and their distance in Å.
Sites, in units of the cell vectors:
Pr 0.0000 0.0000 0.0000  4 Au 3.08
Li 0.3384 0.8460 0.4772  3 Au 2.68-2.74, 4 Li 2.89-2.99
Li 0.6616 0.5228 0.1540  3 Au 2.68-2.74, 4 Li 2.89-2.99
Li 0.6616 0.1540 0.5228  3 Au 2.68-2.74, 4 Li 2.89-2.99
Li 0.0000 0.5000 0.5000  2 Au 2.63
Li 0.3384 0.4772 0.8460  3 Au 2.68-2.74, 4 Li 2.89-2.99
Au 0.2660 0.2340 0.2340  7 Li 2.63-2.74
Au 0.7340 0.7660 0.7660  7 Li 2.63-2.74